A relaxed structure of NaAcErSe3. Source: Alexandria via LeMat-Bulk, functional GGA-PBE.

Cell lengths 8.013, 4.378, 9.568 Å; angles 90.00, 109.22, 90.00 degrees
Atoms (fractional coordinates):
Na  0.101  0.250  0.086
Na  0.899  0.750  0.914
Ac  0.235  0.250  0.751
Ac  0.765  0.750  0.249
Er  0.311  0.750  0.346
Er  0.689  0.250  0.654
Se  0.083  0.250  0.375
Se  0.287  0.750  0.022
Se  0.455  0.750  0.656
Se  0.545  0.250  0.344
Se  0.713  0.250  0.978
Se  0.917  0.750  0.625

Results
Calculated total energy: -4.9714 eV per atom
Space-group type: P2_1/m (11)